(1)
A relaxed LiTiAu2 crystal, computed with GGA-PBEsol.

a b c (Å): 7.0404 7.0404 5.4225
angles (deg): 90.00 90.00 90.00
Space group I-42d (No. 122)
Asymmetric unit:
Li: 0.0000 0.0000 0.0000 (multiplicity 4)
Ti: 0.0000 0.0000 0.5000 (multiplicity 4)
Au: 0.2323 0.7500 0.1250 (multiplicity 8)



(2)
A relaxed LiTl2Au crystal, computed with GGA-PBEsol.

a b c (Å): 3.3613 3.3613 7.5567
angles (deg): 90.00 90.00 90.00
Space group P4mm (No. 99)
Asymmetric unit:
Li: 0.0000 0.0000 0.0000 (multiplicity 1)
Tl: 0.0000 0.0000 0.5858 (multiplicity 1)
Tl: 0.5000 0.5000 0.2537 (multiplicity 1)
Au: 0.5000 0.5000 0.8457 (multiplicity 1)



no.,final energy (Ry per atom)
1,-0.3343
2,-0.2181